1.
# Ta4Ti2Os (PBE, optimized geometry)
data_Ta4Ti2Os
_space_group_name_H-M_alt 'P 1'
_space_group_IT_number 1
_cell_length_a 2.866
_cell_length_b 7.132
_cell_length_c 7.017
_cell_angle_alpha 63.51
_cell_angle_beta 78.78
_cell_angle_gamma 97.10
loop_
_space_group_symop_operation_xyz
'x,y,z'
loop_
_atom_site_label
_atom_site_type_symbol
_atom_site_fract_x
_atom_site_fract_y
_atom_site_fract_z
Ta1 Ta 0.010 0.277 0.572
Ta2 Ta 0.990 0.723 0.428
Ta3 Ta 0.389 0.416 0.862
Ta4 Ta 0.611 0.584 0.138
Ti1 Ti 0.386 0.856 0.721
Ti2 Ti 0.614 0.144 0.279
Os1 Os 0.000 0.000 0.000
# VASP energy, eV per atom: -10.64
# Formation enthalpy at 0 K, eV per atom: 0.00
# Magnetic moment, μB/f.u.: 0.0

---

2.
# Sc3NiTe (PBE, optimized geometry)
data_Sc3NiTe
_space_group_name_H-M_alt 'P 1'
_space_group_IT_number 1
_cell_length_a 4.879
_cell_length_b 4.879
_cell_length_c 4.879
_cell_angle_alpha 90.00
_cell_angle_beta 90.00
_cell_angle_gamma 90.00
loop_
_space_group_symop_operation_xyz
'x,y,z'
loop_
_atom_site_label
_atom_site_type_symbol
_atom_site_fract_x
_atom_site_fract_y
_atom_site_fract_z
Sc1 Sc 0.000 0.500 0.000
Sc2 Sc 0.000 0.000 0.500
Sc3 Sc 0.500 0.000 0.000
Ni1 Ni 0.000 0.000 0.000
Te1 Te 0.500 0.500 0.500
# VASP energy, eV per atom: -6.00
# ΔE to the lowest computed polymorph, meV per atom: 185
# Magnetic moment, μB/f.u.: 0.0
# E_form (uncorrected), meV/atom: -415

---

3.
# ZrInSi2 (PBE, optimized geometry)
data_ZrInSi2
_space_group_name_H-M_alt 'P 1'
_space_group_IT_number 1
_cell_length_a 3.003
_cell_length_b 3.003
_cell_length_c 8.760
_cell_angle_alpha 90.00
_cell_angle_beta 90.00
_cell_angle_gamma 90.00
loop_
_space_group_symop_operation_xyz
'x,y,z'
loop_
_atom_site_label
_atom_site_type_symbol
_atom_site_fract_x
_atom_site_fract_y
_atom_site_fract_z
In1 In 0.500 0.500 0.750
Si1 Si 0.000 0.000 0.025
Si2 Si 0.000 0.000 0.475
Zr1 Zr 0.500 0.500 0.250
# VASP energy, eV per atom: -5.50
# Magnetic moment, μB/f.u.: 0.0
# E_form (uncorrected), meV/atom: 29

---

4.
# La2Tb2Pm7 (PBE, optimized geometry)
data_La2Tb2Pm7
_space_group_name_H-M_alt 'P 1'
_space_group_IT_number 1
_cell_length_a 3.632
_cell_length_b 11.013
_cell_length_c 11.013
_cell_angle_alpha 63.91
_cell_angle_beta 80.51
_cell_angle_gamma 80.51
loop_
_space_group_symop_operation_xyz
'x,y,z'
loop_
_atom_site_label
_atom_site_type_symbol
_atom_site_fract_x
_atom_site_fract_y
_atom_site_fract_z
La1 La 0.706 0.882 0.705
La2 La 0.294 0.295 0.118
Tb1 Tb 0.000 0.762 0.238
Tb2 Tb 0.500 0.356 0.644
Pm1 Pm 0.830 0.012 0.327
Pm2 Pm 0.839 0.489 0.833
Pm3 Pm 0.500 0.043 0.957
Pm4 Pm 0.621 0.466 0.292
Pm5 Pm 0.379 0.708 0.534
Pm6 Pm 0.170 0.673 0.988
Pm7 Pm 0.161 0.167 0.511
# VASP energy, eV per atom: -4.59
# Formation enthalpy at 0 K, eV per atom: 0.17
# ΔE to the lowest computed polymorph, meV per atom: 0
# Magnetic moment, μB/f.u.: 0.0

---

5.
# Ce2NpBi5 (PBE, optimized geometry)
data_Ce2NpBi5
_space_group_name_H-M_alt 'P 1'
_space_group_IT_number 1
_cell_length_a 4.752
_cell_length_b 6.910
_cell_length_c 14.958
_cell_angle_alpha 90.00
_cell_angle_beta 90.00
_cell_angle_gamma 90.00
loop_
_space_group_symop_operation_xyz
'x,y,z'
loop_
_atom_site_label
_atom_site_type_symbol
_atom_site_fract_x
_atom_site_fract_y
_atom_site_fract_z
Ce1 Ce 0.500 0.692 0.149
Ce2 Ce 0.500 0.308 0.851
Ce3 Ce 0.500 0.808 0.649
Ce4 Ce 0.500 0.192 0.351
Np1 Np 0.000 0.500 0.500
Np2 Np 0.000 0.000 0.000
Bi1 Bi 0.000 0.000 0.500
Bi2 Bi 0.000 0.500 0.000
Bi3 Bi 0.000 0.972 0.229
Bi4 Bi 0.000 0.028 0.771
Bi5 Bi 0.000 0.528 0.729
Bi6 Bi 0.000 0.472 0.271
Bi7 Bi 0.500 0.718 0.394
Bi8 Bi 0.500 0.282 0.606
Bi9 Bi 0.500 0.782 0.894
Bi10 Bi 0.500 0.218 0.106
# VASP energy, eV per atom: -5.88
# Formation enthalpy at 0 K, eV per atom: -0.35
# Magnetic moment, μB/f.u.: 6.6

---

6.
# Sr3ZnIr3 (PBE, optimized geometry)
data_Sr3ZnIr3
_space_group_name_H-M_alt 'P 1'
_space_group_IT_number 1
_cell_length_a 4.543
_cell_length_b 5.997
_cell_length_c 13.634
_cell_angle_alpha 90.00
_cell_angle_beta 90.00
_cell_angle_gamma 112.25
loop_
_space_group_symop_operation_xyz
'x,y,z'
loop_
_atom_site_label
_atom_site_type_symbol
_atom_site_fract_x
_atom_site_fract_y
_atom_site_fract_z
Sr1 Sr 0.230 0.461 0.893
Sr2 Sr 0.770 0.539 0.107
Sr3 Sr 0.230 0.461 0.607
Sr4 Sr 0.770 0.539 0.393
Sr5 Sr 0.521 0.042 0.750
Sr6 Sr 0.479 0.958 0.250
Zn1 Zn 0.500 0.000 0.000
Zn2 Zn 0.500 0.000 0.500
Ir1 Ir 0.941 0.882 0.914
Ir2 Ir 0.059 0.118 0.086
Ir3 Ir 0.941 0.882 0.586
Ir4 Ir 0.059 0.118 0.414
Ir5 Ir 0.836 0.672 0.750
Ir6 Ir 0.164 0.328 0.250
# VASP energy, eV per atom: -5.01
# Formation enthalpy at 0 K, eV per atom: -0.31
# Magnetic moment, μB/f.u.: 0.0

---

7.
# Ac3Co2Ge7 (PBE, optimized geometry)
data_Ac3Co2Ge7
_space_group_name_H-M_alt 'P 1'
_space_group_IT_number 1
_cell_length_a 4.483
_cell_length_b 4.390
_cell_length_c 13.411
_cell_angle_alpha 99.40
_cell_angle_beta 90.00
_cell_angle_gamma 90.00
loop_
_space_group_symop_operation_xyz
'x,y,z'
loop_
_atom_site_label
_atom_site_type_symbol
_atom_site_fract_x
_atom_site_fract_y
_atom_site_fract_z
Ac1 Ac 0.500 0.500 0.000
Ac2 Ac 0.000 0.184 0.368
Ac3 Ac 0.000 0.816 0.632
Co1 Co 0.500 0.627 0.255
Co2 Co 0.500 0.373 0.745
Ge1 Ge 0.500 0.719 0.438
Ge2 Ge 0.500 0.281 0.562
Ge3 Ge 0.000 0.590 0.180
Ge4 Ge 0.000 0.000 0.000
Ge5 Ge 0.000 0.410 0.820
Ge6 Ge 0.500 0.910 0.818
Ge7 Ge 0.500 0.090 0.182
# VASP energy, eV per atom: -5.44
# Formation enthalpy at 0 K, eV per atom: -0.53
# Magnetic moment, μB/f.u.: 0.0

---

8.
# Ac2ZrTl2Se6 (PBE, optimized geometry)
data_Ac2ZrTl2Se6
_space_group_name_H-M_alt 'P 1'
_space_group_IT_number 1
_cell_length_a 7.522
_cell_length_b 7.522
_cell_length_c 8.095
_cell_angle_alpha 99.13
_cell_angle_beta 99.13
_cell_angle_gamma 119.10
loop_
_space_group_symop_operation_xyz
'x,y,z'
loop_
_atom_site_label
_atom_site_type_symbol
_atom_site_fract_x
_atom_site_fract_y
_atom_site_fract_z
Ac1 Ac 0.334 0.666 0.500
Ac2 Ac 0.666 0.334 0.500
Zr1 Zr 0.000 0.000 0.500
Tl1 Tl 0.832 0.168 0.000
Tl2 Tl 0.168 0.832 0.000
Se1 Se 0.778 0.778 0.711
Se2 Se 0.070 0.369 0.706
Se3 Se 0.222 0.222 0.289
Se4 Se 0.369 0.070 0.706
Se5 Se 0.930 0.631 0.294
Se6 Se 0.631 0.930 0.294
# VASP energy, eV per atom: -5.23
# Magnetic moment, μB/f.u.: 0.0
# E_form (uncorrected), meV/atom: -1378

---

9.
# TiTl2F (PBE, optimized geometry)
data_TiTl2F
_space_group_name_H-M_alt 'P 1'
_space_group_IT_number 1
_cell_length_a 7.446
_cell_length_b 7.446
_cell_length_c 6.142
_cell_angle_alpha 52.68
_cell_angle_beta 52.68
_cell_angle_gamma 90.00
loop_
_space_group_symop_operation_xyz
'x,y,z'
loop_
_atom_site_label
_atom_site_type_symbol
_atom_site_fract_x
_atom_site_fract_y
_atom_site_fract_z
Tl1 Tl 0.589 0.125 0.250
Tl2 Tl 0.161 0.625 0.250
Tl3 Tl 0.375 0.411 0.750
Tl4 Tl 0.875 0.839 0.750
F1 F 0.500 0.500 0.000
F2 F 0.250 0.750 0.500
Ti1 Ti 0.000 0.000 0.000
Ti2 Ti 0.750 0.250 0.500
# VASP energy, eV per atom: -3.88
# ΔE to the lowest computed polymorph, meV per atom: 0
# Magnetic moment, μB/f.u.: 1.7
# E_form (uncorrected), meV/atom: -256

---

10.
# PmTm2Hg2 (PBE, optimized geometry)
data_PmTm2Hg2
_space_group_name_H-M_alt 'P 1'
_space_group_IT_number 1
_cell_length_a 3.708
_cell_length_b 5.329
_cell_length_c 13.789
_cell_angle_alpha 90.00
_cell_angle_beta 97.72
_cell_angle_gamma 90.00
loop_
_space_group_symop_operation_xyz
'x,y,z'
loop_
_atom_site_label
_atom_site_type_symbol
_atom_site_fract_x
_atom_site_fract_y
_atom_site_fract_z
Pm1 Pm 0.852 0.750 0.707
Pm2 Pm 0.148 0.250 0.293
Tm1 Tm 0.048 0.750 0.096
Tm2 Tm 0.952 0.250 0.904
Tm3 Tm 0.236 0.750 0.473
Tm4 Tm 0.764 0.250 0.527
Hg1 Hg 0.645 0.750 0.288
Hg2 Hg 0.355 0.250 0.712
Hg3 Hg 0.456 0.750 0.910
Hg4 Hg 0.544 0.250 0.090
# VASP energy, eV per atom: -3.24
# Formation enthalpy at 0 K, eV per atom: -0.38
# ΔE to the lowest computed polymorph, meV per atom: 0
# Magnetic moment, μB/f.u.: 0.0